[1]
VASP calculation (PBE) on crystalline NiBiSb at its relaxed geometry.

Structure (CIF):
```
data_NiBiSb
_cell_length_a 6.8464
_cell_length_b 5.3200
_cell_length_c 7.6094
_cell_angle_alpha 90.00
_cell_angle_beta 90.25
_cell_angle_gamma 90.00
_space_group_name_H-M_alt 'P 1 21/c 1'
_space_group_IT_number 14
loop_
_space_group_symop_operation_xyz
'x,y,z'
'-x,-y,-z'
'-x,y+1/2,-z+1/2'
'x,-y+1/2,z+1/2'
loop_
_atom_site_label
_atom_site_fract_x
_atom_site_fract_y
_atom_site_fract_z
_atom_site_occupancy
Ni1 0.2334 0.0071 0.1343 1
Bi1 0.4269 0.7349 0.8915 1
Sb1 0.0668 0.2224 0.3960 1
```



[2]
VASP calculation (PBE) on crystalline Ni2BiSb2 at its relaxed geometry.

Structure (CIF):
```
data_Ni2BiSb2
_cell_length_a 4.5208
_cell_length_b 4.5208
_cell_length_c 10.4415
_cell_angle_alpha 90.00
_cell_angle_beta 90.00
_cell_angle_gamma 90.00
_space_group_name_H-M_alt 'I 4/m m m'
_space_group_IT_number 139
_space_group_name_Hall '-I 4 2'
loop_
_atom_site_label
_atom_site_fract_x
_atom_site_fract_y
_atom_site_fract_z
_atom_site_occupancy
Ni1 0.0000 0.5000 0.2500 1
Bi1 0.0000 0.0000 0.0000 1
Sb1 0.0000 0.0000 0.3613 1
```



no.,formation energy from raw total energies (eV/atom),energy (eV/atom)
1,-0.100,-4.695
2,0.111,-4.627